1.
Below is crystalline Tc2SbRh at its relaxed geometry, with properties calculated at the GGA-PBEsol level.

Lattice parameters (Å, degrees): 9.024 2.944 4.695 90.00 100.63 90.00
Atoms (fractional coordinates):
1 Tc 0.000 0.000 0.000
2 Tc 0.238 0.500 0.176
3 Tc 0.500 0.500 0.000
4 Tc 0.738 0.000 0.176
5 Sb 0.498 0.000 0.491
6 Sb 0.998 0.500 0.491
7 Rh 0.251 0.000 0.709
8 Rh 0.751 0.500 0.709

Properties
- Uncorrected energy: -8.713 eV/atom
- ρ: 11.40 Mg/m³

=====

2.
Below is crystalline TcSb3Rh at its relaxed geometry, with properties calculated at the GGA-PBEsol level.

Lattice parameters (Å, degrees): 4.990 4.990 4.990 90.00 90.00 90.00
Atoms (fractional coordinates):
1 Tc 0.000 0.000 0.000
2 Sb 0.000 0.000 0.500
3 Sb 0.000 0.500 0.000
4 Sb 0.500 0.000 0.000
5 Rh 0.500 0.500 0.500

Properties
- Uncorrected energy: -5.720 eV/atom
- ρ: 7.57 Mg/m³

=====

3.
Below is crystalline Tc2SbRh at its relaxed geometry, with properties calculated at the GGA-PBEsol level.

Lattice parameters (Å, degrees): 3.104 4.376 9.076 90.00 90.00 90.00
Atoms (fractional coordinates):
1 Tc 0.000 0.000 0.229
2 Tc 0.000 0.000 0.771
3 Tc 0.500 0.500 0.271
4 Tc 0.500 0.500 0.729
5 Sb 0.000 0.500 0.500
6 Sb 0.500 0.000 0.000
7 Rh 0.000 0.500 0.000
8 Rh 0.500 0.000 0.500

Properties
- Uncorrected energy: -8.596 eV/atom
- ρ: 11.33 Mg/m³

=====

4.
Below is crystalline TcSb2TeRh at its relaxed geometry, with properties calculated at the GGA-PBEsol level.

Lattice parameters (Å, degrees): 4.958 4.958 5.195 90.00 90.00 90.00
Atoms (fractional coordinates):
1 Tc 0.000 0.000 0.000
2 Sb 0.000 0.500 0.500
3 Sb 0.500 0.000 0.500
4 Te 0.500 0.500 0.000
5 Rh 0.500 0.500 0.500

Properties
- Uncorrected energy: -5.371 eV/atom
- ρ: 7.44 Mg/m³

=====

5.
Below is crystalline Sb2TeRh at its relaxed geometry, with properties calculated at the GGA-PBEsol level.

Lattice parameters (Å, degrees): 3.876 3.876 21.710 90.00 90.00 120.00
Atoms (fractional coordinates):
1 Sb 0.000 0.000 0.233
2 Sb 0.000 0.000 0.767
3 Sb 0.333 0.667 0.434
4 Sb 0.333 0.667 0.899
5 Sb 0.667 0.333 0.101
6 Sb 0.667 0.333 0.566
7 Te 0.000 0.000 0.000
8 Te 0.333 0.667 0.667
9 Te 0.667 0.333 0.333
10 Rh 0.000 0.000 0.500
11 Rh 0.333 0.667 0.167
12 Rh 0.667 0.333 0.833

Properties
- Uncorrected energy: -5.337 eV/atom
- ρ: 8.36 Mg/m³

=====

6.
Below is crystalline SbTeRh at its relaxed geometry, with properties calculated at the GGA-PBEsol level.

Lattice parameters (Å, degrees): 3.199 3.199 12.675 90.00 90.00 90.00
Atoms (fractional coordinates):
1 Sb 0.000 0.000 0.000
2 Sb 0.500 0.500 0.500
3 Te 0.000 0.000 0.738
4 Te 0.500 0.500 0.238
5 Rh 0.000 0.000 0.368
6 Rh 0.500 0.500 0.868

Properties
- Uncorrected energy: -5.570 eV/atom
- ρ: 9.02 Mg/m³

=====

Computed total magnetization, in the same sequence as the records: 0.00; 0.00; 0.00; 2.81; 0.00; 0.00 μB per formula unit.